(1)
A plane-wave DFT calculation with PBE was carried out for an optimized crystal structure of HfPIrRu2.

## Properties
Formation enthalpy at 0 K, kcal/mol of atoms: -3.6
Raw total energy, eV per formula unit: -43.56

a b c (Å): 4.351 4.351 4.388
angles (deg): 90.00 90.00 90.00
Space group P4/mmm (No. 123)
Inequivalent atoms, fractional coordinates:
Hf 0.000 0.000 0.000 [1 per cell]
P 0.500 0.500 0.500 [1 per cell]
Ir 0.500 0.500 0.000 [1 per cell]
Ru 0.000 0.500 0.500 [2 per cell]


(2)
A plane-wave DFT calculation with PBE was carried out for an optimized crystal structure of HfSb2PIr.

## Properties
Energy above the most stable polymorph in this dataset, meV per atom: 343
Raw total energy, eV per formula unit: -26.65
Energy relative to the elements, uncorrected, eV per atom: 1.164

a b c (Å): 5.450 5.450 4.844
angles (deg): 90.00 90.00 90.00
Space group P4/mmm (No. 123)
Inequivalent atoms, fractional coordinates:
Hf 0.000 0.000 0.000 [1 per cell]
Sb 0.000 0.500 0.000 [2 per cell]
P 0.500 0.500 0.500 [1 per cell]
Ir 0.000 0.000 0.500 [1 per cell]